CsTmMnF6 PBE with a Hubbard U relaxed; total energy = -6.057 eV per atom
1.0
-4.722 -6.492 -1.193
6.327 -4.630 0.154
-1.382 4.955 6.111
F Mn Cs Tm
12 2 2 2
direct
0.561 0.320 0.741 F
0.818 0.068 0.636 F
0.565 0.315 0.129 F
0.439 0.080 0.259 F
0.180 0.320 0.741 F
0.561 0.920 0.741 F
0.439 0.680 0.259 F
0.180 0.920 0.741 F
0.435 0.685 0.871 F
0.820 0.680 0.259 F
0.820 0.080 0.259 F
0.182 0.932 0.364 F
0.500 0.500 0.000 Mn
0.500 0.000 0.000 Mn
0.834 0.584 0.667 Cs
0.166 0.416 0.333 Cs
0.500 0.000 0.500 Tm
0.000 0.000 0.500 Tm